(one)
Compound: Pm3TeIr
Source: Alexandria via LeMat-Bulk
Functional: PBE
Structure: optimized geometry

The structure belongs to space group Pm-3m (No. 221); the cell edges are 5.5165, 5.5165 and 5.5165 Å and the angles 90.00°, 90.00° and 90.00°. Symmetry generates all atoms from Pm at (0.0000, 0.0000, 0.5000), Te at (0.5000, 0.5000, 0.5000) and Ir at (0.0000, 0.0000, 0.0000).

***

(two)
Compound: Pm3TeIr
Source: Alexandria via LeMat-Bulk
Functional: PBE
Structure: optimized geometry

The structure belongs to space group Pnma (No. 62); the cell edges are 7.8190, 4.4087 and 16.9255 Å and the angles 90.00°, 90.00° and 90.00°. Symmetry generates all atoms from Pm at (0.0130, 0.2500, 0.0908), Pm at (0.1363, 0.7500, 0.4470), Pm at (0.1769, 0.2500, 0.7056), Te at (0.1215, 0.2500, 0.2984) and Ir at (0.2400, 0.7500, 0.0414).

***

Q: Which of them is the most stable? A: (two).

***

(one)
Compound: Pm2ThIr
Source: Alexandria via LeMat-Bulk
Functional: PBE
Structure: optimized geometry

The structure belongs to space group Pnma (No. 62); the cell edges are 7.2125, 9.9544 and 6.5838 Å and the angles 90.00°, 90.00° and 90.00°. Symmetry generates all atoms from Pm at (0.1773, 0.0651, 0.1683), Th at (0.0408, 0.2500, 0.6607) and Ir at (0.1285, 0.7500, 0.9562).

***

(two)
Compound: Pm2ThIr
Source: Alexandria via LeMat-Bulk
Functional: PBE
Structure: optimized geometry

The structure belongs to space group P4/mmm (No. 123); the cell edges are 3.5790, 3.5790 and 8.7045 Å and the angles 90.00°, 90.00° and 90.00°. Symmetry generates all atoms from Pm at (0.0000, 0.0000, 0.1911), Th at (0.5000, 0.5000, 0.5000) and Ir at (0.5000, 0.5000, 0.0000).

***

Q: Which of them is the most stable? A: (one).

***

(one)
Compound: Pm3ThIr3
Source: Alexandria via LeMat-Bulk
Functional: PBE
Structure: optimized geometry

The structure belongs to space group R3m (No. 160, hexagonal axes); the cell edges are 9.4417, 9.4417 and 6.8312 Å and the angles 90.00°, 90.00° and 120.00°. Symmetry generates all atoms from Pm at (0.1936, 0.3872, 0.0000), Th at (0.0000, 0.0000, 0.7558) and Ir at (0.0055, 0.5027, 0.2349).

***

(two)
Compound: Pm3ThIr3
Source: Alexandria via LeMat-Bulk
Functional: PBE
Structure: optimized geometry

The structure belongs to space group R-3 (No. 148, hexagonal axes); the cell edges are 8.5846, 8.5846 and 17.5405 Å and the angles 90.00°, 90.00° and 120.00°. Symmetry generates all atoms from Pm at (0.0159, 0.7335, 0.1030), Th at (0.0000, 0.0000, 0.3271) and Ir at (0.0072, 0.6248, 0.9368).

***

Q: Which of them is the most stable? A: (two).

***

(one)
Compound: PmThIr
Source: Alexandria via LeMat-Bulk
Functional: PBE
Structure: optimized geometry

The structure belongs to space group P2_1/c (No. 14); the cell edges are 7.1178, 6.0311 and 10.4274 Å and the angles 90.00°, 127.68° and 90.00°. Symmetry generates all atoms from Pm at (0.1964, 0.1359, 0.3766), Th at (0.3283, 0.6327, 0.6261) and Ir at (0.3219, 0.6465, 0.3549).

***

(two)
Compound: PmThIr
Source: Alexandria via LeMat-Bulk
Functional: PBE
Structure: optimized geometry

The structure belongs to space group Cm (No. 8); the cell edges are 12.4193, 3.9393 and 8.2436 Å and the angles 90.00°, 125.40° and 90.00°. Symmetry generates all atoms from Pm at (0.0000, 0.0000, 0.0000), Pm at (0.0684, 0.5000, 0.6951), Th at (0.2364, 0.0000, 0.5516), Th at (0.3274, 0.5000, 0.2373), Ir at (0.0502, 0.5000, 0.3145) and Ir at (0.2723, 0.0000, 0.9451).

***

Q: Which of them is the most stable? A: (two).

***

(one)
Compound: Pm5ThIr4
Source: Alexandria via LeMat-Bulk
Functional: PBE
Structure: optimized geometry

The structure belongs to space group C2/m (No. 12); the cell edges are 15.3909, 4.7963 and 7.1432 Å and the angles 90.00°, 97.05° and 90.00°. Symmetry generates all atoms from Pm at (0.0000, 0.0000, 0.0000), Pm at (0.1655, 0.5000, 0.0423), Pm at (0.1717, 0.5000, 0.5490), Th at (0.0000, 0.0000, 0.5000), Ir at (0.0092, 0.5000, 0.2689) and Ir at (0.1557, 0.0000, 0.7720).

***

(two)
Compound: Pm5ThIr4
Source: Alexandria via LeMat-Bulk
Functional: PBE
Structure: optimized geometry

The structure belongs to space group C2/m (No. 12); the cell edges are 18.6563, 4.2562 and 7.7154 Å and the angles 90.00°, 114.34° and 90.00°. Symmetry generates all atoms from Pm at (0.0000, 0.0000, 0.0000), Pm at (0.1660, 0.5000, 0.4240), Pm at (0.1661, 0.5000, 0.9091), Th at (0.0000, 0.0000, 0.5000), Ir at (0.0000, 0.5000, 0.2507) and Ir at (0.1947, 0.0000, 0.6950).

***

Q: Which of them is the most stable? A: (one).

***

(one)
Compound: PmTh2Ir
Source: Alexandria via LeMat-Bulk
Functional: PBE
Structure: optimized geometry

The structure belongs to space group Pnma (No. 62); the cell edges are 7.2848, 10.0299 and 6.3506 Å and the angles 90.00°, 90.00° and 90.00°. Symmetry generates all atoms from Pm at (0.0377, 0.2500, 0.1476), Th at (0.1790, 0.0605, 0.6577) and Ir at (0.1105, 0.7500, 0.3849).

***

(two)
Compound: PmTh2Ir
Source: Alexandria via LeMat-Bulk
Functional: PBE
Structure: optimized geometry

The structure belongs to space group R3m (No. 160, hexagonal axes); the cell edges are 4.0067, 4.0067 and 27.3839 Å and the angles 90.00°, 90.00° and 120.00°. Symmetry generates all atoms from Pm at (0.0000, 0.0000, 0.0000), Th at (0.0000, 0.0000, 0.5612), Th at (0.0000, 0.0000, 0.7726) and Ir at (0.0000, 0.0000, 0.1663).

***

Q: Which of them is the most stable? A: (one).

***

(one)
Compound: Pm4TlIr2
Source: Alexandria via LeMat-Bulk
Functional: PBE
Structure: optimized geometry

The structure belongs to space group I-42d (No. 122); the cell edges are 9.1504, 9.1504 and 8.9475 Å and the angles 90.00°, 90.00° and 90.00°. Symmetry generates all atoms from Pm at (0.0699, 0.1747, 0.3276), Tl at (0.0000, 0.0000, 0.0000) and Ir at (0.1335, 0.2500, 0.6250).

***

(two)
Compound: Pm4TlIr2
Source: Alexandria via LeMat-Bulk
Functional: PBE
Structure: optimized geometry

The structure belongs to space group R-3m (No. 166, hexagonal axes); the cell edges are 4.3114, 4.3114 and 38.6277 Å and the angles 90.00°, 90.00° and 120.00°. Symmetry generates all atoms from Pm at (0.0000, 0.0000, 0.1070), Pm at (0.0000, 0.0000, 0.2982), Tl at (0.0000, 0.0000, 0.5000) and Ir at (0.0000, 0.0000, 0.4030).

***

Q: Which of them is the most stable? A: (two).

***

(one)
Compound: Pm2TlIr
Source: Alexandria via LeMat-Bulk
Functional: PBE
Structure: optimized geometry

The structure belongs to space group R3m (No. 160, hexagonal axes); the cell edges are 4.1255, 4.1255 and 24.2474 Å and the angles 90.00°, 90.00° and 120.00°. Symmetry generates all atoms from Pm at (0.0000, 0.0000, 0.0000), Pm at (0.0000, 0.0000, 0.2060), Tl at (0.0000, 0.0000, 0.4369) and Ir at (0.0000, 0.0000, 0.6023).

***

(two)
Compound: Pm2TlIr
Source: Alexandria via LeMat-Bulk
Functional: PBE
Structure: optimized geometry

The structure belongs to space group Fm-3m (No. 225); the cell edges are 7.3930, 7.3930 and 7.3930 Å and the angles 90.00°, 90.00° and 90.00°. Symmetry generates all atoms from Pm at (0.2500, 0.2500, 0.2500), Tl at (0.0000, 0.0000, 0.0000) and Ir at (0.0000, 0.0000, 0.5000).

***

(three)
Compound: Pm2TlIr
Source: Alexandria via LeMat-Bulk
Functional: PBE
Structure: optimized geometry

The structure belongs to space group P4/mmm (No. 123); the cell edges are 3.5434, 3.5434 and 8.2756 Å and the angles 90.00°, 90.00° and 90.00°. Symmetry generates all atoms from Pm at (0.0000, 0.0000, 0.2054), Tl at (0.5000, 0.5000, 0.5000) and Ir at (0.5000, 0.5000, 0.0000).

***

Q: Which of them is the most stable? A: (three).